Record 1
The following is a GGA-PBE calculation of an optimized crystal structure of VSi2Cl, from the Alexandria database.

Computed properties:
D(E_F)   3.19 states/eV/f.u.
Relative energy among the computed polymorphs   0.00 eV/f.u.
Uncorrected formation energy   0.803 eV per atom

Geometry as POSCAR:
```
VSi2Cl
1.0
6.0772 0.0000 0.0000
0.0000 6.0772 0.0000
0.0000 0.0000 9.9409
V Si Cl
4 8 4
direct
0.0000 0.0000 0.0000 V
0.0000 0.5000 0.2500 V
0.5000 0.0000 0.7500 V
0.5000 0.5000 0.5000 V
0.2160 0.2500 0.1250 Si
0.2500 0.7160 0.3750 Si
0.2500 0.7840 0.8750 Si
0.2840 0.2500 0.6250 Si
0.7160 0.7500 0.6250 Si
0.7500 0.2160 0.8750 Si
0.7500 0.2840 0.3750 Si
0.7840 0.7500 0.1250 Si
0.0000 0.0000 0.5000 Cl
0.0000 0.5000 0.7500 Cl
0.5000 0.0000 0.2500 Cl
0.5000 0.5000 0.0000 Cl
```

=====

Record 2
The following is a GGA-PBE calculation of an optimized crystal structure of V3SiCl, from the Alexandria database.

Computed properties:
D(E_F)   6.18 states/eV/f.u.
Relative energy among the computed polymorphs   0.00 eV/f.u.
Uncorrected formation energy   0.486 eV per atom

Geometry as POSCAR:
```
V3SiCl
1.0
4.2065 0.0000 0.0000
0.0000 4.2065 0.0000
0.0000 0.0000 4.2065
V Si Cl
3 1 1
direct
0.0000 0.0000 0.5000 V
0.0000 0.5000 0.0000 V
0.5000 0.0000 0.0000 V
0.5000 0.5000 0.5000 Si
0.0000 0.0000 0.0000 Cl
```

=====

What is the uncorrected formation energy in the second record? 0.486 eV per atom

=====

What is the uncorrected formation energy in the second record? 0.486 eV per atom

=====

The highest uncorrected formation energy belongs to which entry? VSi2Cl

=====

What is the uncorrected formation energy in the second record? 0.486 eV per atom